SnHgO3 | OQMD via LeMat-Bulk | GGA-PBE | optimized geometry; uncorrected energy = -4.7810 eV per atom
1.0
3.951 0.000 0.000
0.052 4.074 0.000
0.217 1.860 8.592
O Sn Hg
6 2 2
Direct
0.437 0.311 0.379
0.743 0.460 0.090
0.563 0.689 0.621
0.840 0.102 0.798
0.257 0.540 0.910
0.160 0.898 0.202
0.245 0.417 0.156
0.755 0.583 0.844
0.207 0.197 0.608
0.793 0.803 0.392